# 1
Material: CuI
Method: DFT, GGA-PBEsol
State: optimized geometry

```
CuI
1.0
4.0559 0.0000 0.0000
-2.0279 3.5125 0.0000
0.0000 0.0000 21.4205
Cu I
6 6
Cartesian
0.0000 0.0000 4.6824
2.0279 1.1708 20.3124
0.0000 0.0000 11.8210
0.0000 0.0000 18.9671
0.0000 2.3417 6.0290
2.0279 1.1708 13.1630
0.0000 0.0000 14.3842
0.0000 0.0000 7.2463
2.0279 1.1708 17.7470
2.0279 1.1708 10.5986
0.0000 2.3417 3.4625
0.0000 0.0000 0.1101
```

E_form (uncorrected) in meV per atom: -124
Space-group type: P3m1

=====

# 2
Material: CsKIn3
Method: DFT, GGA-PBEsol
State: optimized geometry

```
CsKIn3
1.0
-5.4435 2.3810 -2.3263
-2.9752 -5.4798 1.3534
-1.4929 2.2393 5.7852
Cs K In
1 1 3
Cartesian
0.0000 0.0000 0.0000
-4.9558 -0.4298 2.4061
-1.4876 -2.7399 0.6767
-0.7464 1.1197 2.8926
-2.7217 1.1905 -1.1632
```

E_form in eV/atom: 0.75
Space-group type: Pm-3m

=====

# 3
Material: FeTcW2
Method: DFT, GGA-PBEsol
State: optimized geometry

```
FeTcW2
1.0
3.0901 0.0000 0.0000
0.0000 3.0902 0.0000
0.0000 0.0000 5.9400
Fe Tc W
1 1 2
Cartesian
0.0000 0.0000 2.9224
1.5451 1.5451 4.4331
0.0000 0.0000 5.8877
1.5451 1.5451 1.6067
```

E_form in eV/atom: 0.13
E above lowest polymorph in meV/atom: 0
Space-group type: P4mm

=====

# 4
Material: K2AuN2
Method: DFT, GGA-PBEsol
State: optimized geometry

```
K2AuN2
1.0
-0.6010 -1.3987 -3.0754
-5.1311 -5.0607 3.3043
-5.8823 5.1772 -1.2051
K Au N
4 2 4
Cartesian
-5.7875 1.9162 -1.6550
-8.5747 -0.4191 -0.0483
-5.8269 -3.1984 0.6787
-3.0397 -0.8631 -0.9280
0.0000 0.0000 0.0000
-5.5067 0.0582 1.0496
-7.8702 2.6407 0.3369
-8.1116 -1.9352 2.4652
-3.1432 -2.5243 1.7622
-2.9017 2.0517 -0.3660
```

E_form (uncorrected) in meV per atom: -125
Space-group type: P4/mbm

=====

# 5
Material: TlHgCl3
Method: DFT, GGA-PBEsol
State: optimized geometry

```
TlHgCl3
1.0
5.2196 0.0000 0.0000
0.0000 5.2196 0.0000
0.0000 0.0000 5.2196
Tl Hg Cl
1 1 3
Cartesian
0.0000 0.0000 0.0000
2.6098 2.6098 2.6098
0.0000 2.6098 0.0000
0.0000 0.0000 2.6098
2.6098 0.0000 0.0000
```

E_form (uncorrected) in meV per atom: -373
Space-group type: Pm-3m

=====

# 6
Material: MnAs2P
Method: DFT, GGA-PBEsol
State: optimized geometry

```
MnAs2P
1.0
4.4347 -0.0064 0.0000
-1.4620 4.1844 0.0000
-1.4863 -2.0890 3.6353
As Mn P
2 1 1
Cartesian
-0.7432 -1.0445 1.8176
0.7432 1.0445 1.8176
2.2173 -0.0032 0.0000
-0.7310 2.0922 0.0000
```

E_form in eV/atom: 0.14
Space-group type: Fmmm

=====

# 7
Material: NiSbP
Method: DFT, GGA-PBEsol
State: optimized geometry

```
NiSbP
1.0
5.8048 0.0000 0.0000
0.0000 5.8048 0.0000
0.0000 0.0000 5.8048
Ni P Sb
4 4 4
Cartesian
2.7625 2.7625 2.7625
0.1399 3.0423 5.6649
3.0423 5.6649 0.1399
5.6649 0.1399 3.0423
5.0698 5.0698 5.0698
3.6374 0.7350 2.1674
0.7350 2.1674 3.6374
2.1674 3.6374 0.7350
0.7374 0.7374 0.7374
2.1650 5.0674 3.6398
5.0674 3.6398 2.1650
3.6398 2.1650 5.0674
```

E_form (uncorrected) in meV per atom: -295
E above lowest polymorph in meV/atom: 0
Space-group type: P2_13

=====

# 8
Material: AlRhAu2O
Method: DFT, GGA-PBEsol
State: optimized geometry

```
AlRhAu2O
1.0
-1.8587 -1.4328 -3.1125
-2.8051 -2.2268 2.7002
-2.7705 3.5272 0.0307
Rh Au Al O
1 2 1 1
Cartesian
-0.9294 -0.7164 -1.5563
-1.3852 1.7636 0.0154
-1.4025 -1.1134 1.3501
-3.7171 -0.0662 -0.1908
0.0000 0.0000 0.0000
```

E_form (uncorrected) in meV per atom: 349
Space-group type: P4/mmm

=====

# 9
Material: MnReCl2
Method: DFT, GGA-PBEsol
State: optimized geometry

```
MnReCl2
1.0
3.0436 0.0000 0.0000
1.5218 2.6358 0.0000
1.5218 0.8786 8.6878
Re Mn Cl
1 1 2
Cartesian
4.5653 2.6358 6.3120
3.0436 1.7572 4.4484
1.5218 0.8786 8.1257
1.5218 0.8786 2.8335
```

E_form (uncorrected) in meV per atom: -60
E above lowest polymorph in meV/atom: 0
Space-group type: R3m

=====

# 10
Material: Mg2CdCo
Method: DFT, GGA-PBEsol
State: optimized geometry

```
Mg2CdCo
1.0
3.1647 0.0000 0.0000
0.0000 4.5250 0.0000
-1.5823 -2.2625 4.6968
Cd Co Mg
1 1 2
Cartesian
1.5823 2.2625 0.2638
0.0000 2.2625 2.3530
1.5823 2.2625 4.3930
1.5823 0.0000 2.3837
```

E_form in eV/atom: 0.09
Space-group type: Imm2

=====

# 11
Material: H2Pb3O4
Method: DFT, GGA-PBEsol
State: optimized geometry

```
H2Pb3O4
1.0
7.9661 0.0000 0.0000
0.0000 7.9661 0.0000
0.0000 0.0000 9.1895
H O Pb
8 16 12
Cartesian
2.6076 1.3288 2.2476
5.3585 6.6373 2.2476
1.3288 5.3585 6.9419
6.6373 2.6076 6.9419
1.3754 5.3118 2.3471
6.5907 2.6543 2.3471
2.6543 1.3754 6.8423
5.3118 6.5907 6.8423
2.0258 0.8627 1.5633
5.9403 7.1034 1.5633
0.8627 5.9403 7.6262
7.1034 2.0258 7.6262
1.9572 4.8458 3.0314
6.0089 3.1204 3.0314
3.1204 1.9572 6.1580
4.8458 6.0089 6.1580
3.3065 2.3788 3.3890
4.6596 5.5873 3.3890
2.3788 4.6596 5.8005
5.5873 3.3065 5.8005
0.6766 6.3619 1.2058
7.2895 1.6043 1.2058
1.6043 0.6766 7.9837
6.3619 7.2895 7.9837
1.0050 2.4363 0.0172
6.9611 5.5298 0.0172
2.4363 6.9611 9.1723
5.5298 1.0050 9.1723
2.9780 6.4194 4.5775
4.9881 1.5467 4.5775
1.5467 2.9780 4.6119
6.4194 4.9881 4.6119
0.0000 0.0000 2.6005
0.0000 0.0000 6.5890
3.9831 3.9831 1.9943
3.9831 3.9831 7.1952
```

E in eV per atom: -5.480
Space-group type: P-42_1c

=====

# 12
Material: LaNi2Pt
Method: DFT, GGA-PBEsol
State: optimized geometry

```
LaNi2Pt
1.0
4.2572 0.0000 0.0000
2.1286 3.6868 0.0000
2.1286 1.2289 4.5871
Ni Pt La
2 1 1
Cartesian
2.1286 1.2289 1.9699
6.3857 3.6868 2.6173
4.2572 2.4579 2.2936
0.0000 0.0000 0.0000
```

E_form in eV/atom: -0.51
Space-group type: R-3m